*P*
## LiLaAu3 (PBE)

Data for a relaxed LiLaAu3 crystal.

Calculated values
V = 22.373 Å³ per atom
Crystal system = orthorhombic

Structure (CIF):
```
data_LiLaAu3
_chemical_formula_sum 'Li2 La2 Au6'
_cell_length_a 13.3840
_cell_length_b 13.3840
_cell_length_c 4.6503
_cell_angle_alpha 90.00
_cell_angle_beta 90.00
_cell_angle_gamma 164.42
_symmetry_space_group_name_H-M 'P 1'
_symmetry_Int_Tables_number 1
_symmetry_space_group_name_Hall 'P 1'
loop_
_atom_site_label
_atom_site_fract_x
_atom_site_fract_y
_atom_site_fract_z
Li1 0.2103 0.7897 0.7500
Li2 0.7897 0.2103 0.2500
La1 0.0807 0.9193 0.2500
La2 0.9193 0.0807 0.7500
Au1 0.3102 0.6898 0.7500
Au2 0.3672 0.6328 0.2500
Au3 0.4722 0.5278 0.2500
Au4 0.5278 0.4722 0.7500
Au5 0.6328 0.3672 0.7500
Au6 0.6898 0.3102 0.2500
```



*Q*
## LiLaAu3 (PBE)

Data for a relaxed LiLaAu3 crystal.

Calculated values
V = 21.437 Å³ per atom
Crystal system = cubic

Structure (CIF):
```
data_LiLaAu3
_chemical_formula_sum 'Li1 La1 Au3'
_cell_length_a 4.7502
_cell_length_b 4.7502
_cell_length_c 4.7502
_cell_angle_alpha 90.00
_cell_angle_beta 90.00
_cell_angle_gamma 90.00
_symmetry_space_group_name_H-M 'P 1'
_symmetry_Int_Tables_number 1
_symmetry_space_group_name_Hall 'P 1'
loop_
_atom_site_label
_atom_site_fract_x
_atom_site_fract_y
_atom_site_fract_z
Li1 0.0000 0.0000 0.0000
La1 0.5000 0.5000 0.5000
Au1 0.0000 0.0000 0.5000
Au2 0.0000 0.5000 0.0000
Au3 0.5000 0.0000 0.0000
```



*R*
## LiLaAu3 (PBE)

Data for a relaxed LiLaAu3 crystal.

Calculated values
V = 36.500 Å³ per atom
Crystal system = cubic

Structure (CIF):
```
data_LiLaAu3
_chemical_formula_sum 'Li1 La1 Au3'
_cell_length_a 5.6722
_cell_length_b 5.6722
_cell_length_c 5.6722
_cell_angle_alpha 90.00
_cell_angle_beta 90.00
_cell_angle_gamma 90.00
_symmetry_space_group_name_H-M 'P 1'
_symmetry_Int_Tables_number 1
_symmetry_space_group_name_Hall 'P 1'
loop_
_atom_site_label
_atom_site_fract_x
_atom_site_fract_y
_atom_site_fract_z
Li1 0.0000 0.0000 0.0000
La1 0.5000 0.5000 0.5000
Au1 0.0000 0.5000 0.5000
Au2 0.5000 0.0000 0.5000
Au3 0.5000 0.5000 0.0000
```



*S*
## LiLaAu3 (PBE)

Data for a relaxed LiLaAu3 crystal.

Calculated values
V = 21.662 Å³ per atom
Crystal system = monoclinic

Structure (CIF):
```
data_LiLaAu3
_chemical_formula_sum 'Li2 La2 Au6'
_cell_length_a 11.0242
_cell_length_b 11.0242
_cell_length_c 4.6585
_cell_angle_alpha 102.02
_cell_angle_beta 102.02
_cell_angle_gamma 23.05
_symmetry_space_group_name_H-M 'P 1'
_symmetry_Int_Tables_number 1
_symmetry_space_group_name_Hall 'P 1'
loop_
_atom_site_label
_atom_site_fract_x
_atom_site_fract_y
_atom_site_fract_z
Li1 0.1515 0.1515 0.4037
Li2 0.8485 0.8485 0.5963
La1 0.4062 0.4062 0.1548
La2 0.5938 0.5938 0.8452
Au1 0.0336 0.0336 0.2830
Au2 0.2019 0.2019 0.9532
Au3 0.2974 0.2974 0.5484
Au4 0.7026 0.7026 0.4516
Au5 0.7981 0.7981 0.0468
Au6 0.9664 0.9664 0.7170
```



Most stable to least stable, the ends of the list are *P* and *R*.



*P*
## Li3LaAu (PBE)

Data for a relaxed Li3LaAu crystal.

Calculated values
V = 35.280 Å³ per atom
Crystal system = cubic

Structure (CIF):
```
data_Li3LaAu
_chemical_formula_sum 'Li3 La1 Au1'
_cell_length_a 5.6083
_cell_length_b 5.6083
_cell_length_c 5.6083
_cell_angle_alpha 90.00
_cell_angle_beta 90.00
_cell_angle_gamma 90.00
_symmetry_space_group_name_H-M 'P 1'
_symmetry_Int_Tables_number 1
_symmetry_space_group_name_Hall 'P 1'
loop_
_atom_site_label
_atom_site_fract_x
_atom_site_fract_y
_atom_site_fract_z
Li1 0.0000 0.0000 0.5000
Li2 0.0000 0.5000 0.0000
Li3 0.5000 0.0000 0.0000
La1 0.0000 0.0000 0.0000
Au1 0.5000 0.5000 0.5000
```



*Q*
## Li3LaAu (PBE)

Data for a relaxed Li3LaAu crystal.

Calculated values
V = 23.295 Å³ per atom
Crystal system = cubic

Structure (CIF):
```
data_Li3LaAu
_chemical_formula_sum 'Li3 La1 Au1'
_cell_length_a 4.8837
_cell_length_b 4.8837
_cell_length_c 4.8837
_cell_angle_alpha 90.00
_cell_angle_beta 90.00
_cell_angle_gamma 90.00
_symmetry_space_group_name_H-M 'P 1'
_symmetry_Int_Tables_number 1
_symmetry_space_group_name_Hall 'P 1'
loop_
_atom_site_label
_atom_site_fract_x
_atom_site_fract_y
_atom_site_fract_z
Li1 0.0000 0.0000 0.5000
Li2 0.0000 0.5000 0.0000
Li3 0.5000 0.0000 0.0000
La1 0.5000 0.5000 0.5000
Au1 0.0000 0.0000 0.0000
```



Most stable to least stable, the ends of the list are *Q* and *P*.



*P*
## LiLa2AuN (PBE)

Data for a relaxed LiLa2AuN crystal.

Calculated values
V = 28.528 Å³ per atom
Crystal system = tetragonal

Structure (CIF):
```
data_LiLa2AuN
_chemical_formula_sum 'Li1 La2 Au1 N1'
_cell_length_a 5.6522
_cell_length_b 5.6522
_cell_length_c 4.4648
_cell_angle_alpha 90.00
_cell_angle_beta 90.00
_cell_angle_gamma 90.00
_symmetry_space_group_name_H-M 'P 1'
_symmetry_Int_Tables_number 1
_symmetry_space_group_name_Hall 'P 1'
loop_
_atom_site_label
_atom_site_fract_x
_atom_site_fract_y
_atom_site_fract_z
Li1 0.0000 0.0000 0.0000
La1 0.0000 0.5000 0.5000
La2 0.5000 0.0000 0.5000
Au1 0.0000 0.0000 0.5000
N1 0.5000 0.5000 0.0000
```



*Q*
## LiLa2AuN (PBE)

Data for a relaxed LiLa2AuN crystal.

Calculated values
V = 21.603 Å³ per atom
Crystal system = tetragonal

Structure (CIF):
```
data_LiLa2AuN
_chemical_formula_sum 'Li1 La2 Au1 N1'
_cell_length_a 5.1099
_cell_length_b 5.1099
_cell_length_c 4.1367
_cell_angle_alpha 90.00
_cell_angle_beta 90.00
_cell_angle_gamma 90.00
_symmetry_space_group_name_H-M 'P 1'
_symmetry_Int_Tables_number 1
_symmetry_space_group_name_Hall 'P 1'
loop_
_atom_site_label
_atom_site_fract_x
_atom_site_fract_y
_atom_site_fract_z
Li1 0.0000 0.0000 0.0000
La1 0.0000 0.5000 0.5000
La2 0.5000 0.0000 0.5000
Au1 0.5000 0.5000 0.0000
N1 0.0000 0.0000 0.5000
```



Most stable to least stable, the ends of the list are *Q* and *P*.



*P*
## LiLa2RhAu (PBE)

Data for a relaxed LiLa2RhAu crystal.

Calculated values
V = 27.610 Å³ per atom
Crystal system = tetragonal

Structure (CIF):
```
data_LiLa2RhAu
_chemical_formula_sum 'Li1 La2 Rh1 Au1'
_cell_length_a 5.4288
_cell_length_b 5.4288
_cell_length_c 4.6840
_cell_angle_alpha 90.00
_cell_angle_beta 90.00
_cell_angle_gamma 90.00
_symmetry_space_group_name_H-M 'P 1'
_symmetry_Int_Tables_number 1
_symmetry_space_group_name_Hall 'P 1'
loop_
_atom_site_label
_atom_site_fract_x
_atom_site_fract_y
_atom_site_fract_z
Li1 0.0000 0.0000 0.0000
La1 0.0000 0.5000 0.5000
La2 0.5000 0.0000 0.5000
Rh1 0.0000 0.0000 0.5000
Au1 0.5000 0.5000 0.0000
```



*Q*
## LiLa2RhAu (PBE)

Data for a relaxed LiLa2RhAu crystal.

Calculated values
V = 24.486 Å³ per atom
Crystal system = monoclinic

Structure (CIF):
```
data_LiLa2RhAu
_chemical_formula_sum 'Li2 La4 Rh2 Au2'
_cell_length_a 7.5974
_cell_length_b 4.3153
_cell_length_c 7.9122
_cell_angle_alpha 90.00
_cell_angle_beta 109.27
_cell_angle_gamma 90.00
_symmetry_space_group_name_H-M 'P 1'
_symmetry_Int_Tables_number 1
_symmetry_space_group_name_Hall 'P 1'
loop_
_atom_site_label
_atom_site_fract_x
_atom_site_fract_y
_atom_site_fract_z
Li1 0.1456 0.2500 0.0510
Li2 0.8544 0.7500 0.9490
La1 0.1464 0.7500 0.3936
La2 0.4631 0.2500 0.7783
La3 0.5369 0.7500 0.2217
La4 0.8536 0.2500 0.6064
Rh1 0.3898 0.2500 0.3802
Rh2 0.6102 0.7500 0.6198
Au1 0.1695 0.7500 0.8308
Au2 0.8305 0.2500 0.1692
```



Most stable to least stable, the ends of the list are *Q* and *P*.